Entry 1:
VASP calculation (PBE-GGA) on an optimized crystal structure of BaYCd2Cl.

a b c (Å): 6.434 5.562 6.434
angles (deg): 90.00 90.00 90.00
Each line ends with the local moment (μB).
Positions (direct):
Y 0.500 0.500 0.500  0.29
Cl 0.000 0.500 0.000  0.01
Ba 0.000 0.000 0.000  0.01
Cd 0.000 0.000 0.500  0.01
Cd 0.500 0.000 0.000  0.01

Spin magnetization (μB/f.u.): 0.76
Formation energy from raw total energies (eV per atom): 0.13
Total energy (eV/atom): -2.29

Entry 2:
VASP calculation (PBE-GGA) on an optimized crystal structure of Ba2CdCo2.

a b c (Å): 7.741 7.741 4.713
angles (deg): 90.00 90.00 90.00
Each line ends with the local moment (μB).
Positions (direct):
Co 0.400 0.900 0.000  1.58
Co 0.900 0.600 0.000  1.56
Co 0.600 0.100 0.000  1.58
Co 0.100 0.400 0.000  1.56
Ba 0.183 0.683 0.500  -0.08
Ba 0.683 0.817 0.500  -0.08
Ba 0.817 0.317 0.500  -0.08
Ba 0.317 0.183 0.500  -0.08
Cd 0.000 0.000 0.000  -0.02
Cd 0.500 0.500 0.000  -0.02

Spin magnetization (μB/f.u.): 2.66
Total energy (eV/atom): -3.49
Calculated formation energy (eV/atom): 0.3000

Entry 3:
VASP calculation (PBE-GGA) on an optimized crystal structure of Ba2CdCo.

a b c (Å): 6.824 6.824 5.612
angles (deg): 65.75 65.75 33.24
Each line ends with the local moment (μB).
Positions (direct):
Ba 0.047 0.047 0.953  -0.07
Ba 0.238 0.238 0.262  -0.09
Cd 0.435 0.435 0.564  -0.02
Co 0.780 0.780 0.720  1.34

Spin magnetization (μB/f.u.): 0.80
Total energy (eV/atom): -2.73
Calculated formation energy (eV/atom): 0.2386

Entry 4:
VASP calculation (PBE-GGA) on an optimized crystal structure of BaCdCo2.

a b c (Å): 5.148 5.148 5.148
angles (deg): 123.03 123.03 84.83
Each line ends with the local moment (μB).
Positions (direct):
Ba 0.500 0.500 0.000  -0.06
Cd 0.750 0.250 0.500  -0.01
Co 0.000 0.000 0.000  1.89
Co 0.250 0.750 0.500  1.87

Spin magnetization (μB/f.u.): 3.46
Total energy (eV/atom): -3.43
Calculated formation energy (eV/atom): 0.8303

Entry 5:
VASP calculation (PBE-GGA) on an optimized crystal structure of BaCd2Co.

a b c (Å): 4.713 4.713 6.355
angles (deg): 68.27 68.27 60.05
Each line ends with the local moment (μB).
Positions (direct):
Ba 0.248 0.248 0.257  -0.04
Cd 0.051 0.051 0.846  -0.02
Cd 0.769 0.769 0.692  -0.02
Co 0.431 0.431 0.705  0.94

Spin magnetization (μB/f.u.): 0.72
Total energy (eV/atom): -2.62
Calculated formation energy (eV/atom): 0.0983

Entry 6:
VASP calculation (PBE-GGA) on an optimized crystal structure of BaCd2Co.

a b c (Å): 3.641 3.648 7.687
angles (deg): 90.00 90.00 90.00
Each line ends with the local moment (μB).
Positions (direct):
Ba 0.500 0.500 0.721  -0.07
Cd 0.000 0.000 0.065  -0.01
Cd 0.500 0.500 0.296  -0.04
Co 0.000 0.000 0.418  1.22

Spin magnetization (μB/f.u.): 0.93
Total energy (eV/atom): -2.49
Calculated formation energy (eV/atom): 0.2266

Entry 7:
VASP calculation (PBE-GGA) on an optimized crystal structure of BaCdCo.

a b c (Å): 5.429 5.429 5.429
angles (deg): 60.00 60.00 60.00
Each line ends with the local moment (μB).
Positions (direct):
Ba 0.750 0.750 0.750  -0.09
Cd 0.000 0.000 0.000  -0.02
Co 0.500 0.500 0.500  1.82

Spin magnetization (μB/f.u.): 1.49
Total energy (eV/atom): -2.39
Calculated formation energy (eV/atom): 0.9254

Entry 8:
VASP calculation (PBE-GGA) on an optimized crystal structure of Ba2CdCo.

a b c (Å): 6.435 6.435 6.435
angles (deg): 135.15 135.15 65.30
Each line ends with the local moment (μB).
Positions (direct):
Ba 0.000 0.000 0.000  -0.08
Ba 0.250 0.750 0.500  -0.10
Cd 0.500 0.500 0.000  -0.01
Co 0.750 0.250 0.500  1.64

Spin magnetization (μB/f.u.): 1.06
Total energy (eV/atom): -2.55
Calculated formation energy (eV/atom): 0.4148

Entry 9:
VASP calculation (PBE-GGA) on an optimized crystal structure of BaCd2Co.

a b c (Å): 4.410 5.245 5.259
angles (deg): 65.20 90.00 90.00
Each line ends with the local moment (μB).
Positions (direct):
Ba 0.500 0.750 0.750  -0.05
Cd 0.000 0.082 0.082  -0.02
Cd 0.000 0.418 0.418  -0.02
Co 0.500 0.250 0.250  0.95

Spin magnetization (μB/f.u.): 0.72
Total energy (eV/atom): -2.52
Calculated formation energy (eV/atom): 0.1922

Entry 10:
VASP calculation (PBE-GGA) on an optimized crystal structure of BaCdCo2.

a b c (Å): 3.879 4.272 6.081
angles (deg): 69.49 90.00 90.00
Each line ends with the local moment (μB).
Positions (direct):
Ba 0.000 0.467 0.441  -0.07
Cd 0.500 0.744 0.886  -0.04
Co 0.000 0.190 0.995  1.39
Co 0.500 0.099 0.178  1.32

Spin magnetization (μB/f.u.): 2.41
Total energy (eV/atom): -3.92
Calculated formation energy (eV/atom): 0.3433

Entry 11:
VASP calculation (PBE-GGA) on an optimized crystal structure of BaCdCo2.

a b c (Å): 4.771 4.771 9.801
angles (deg): 75.91 75.91 90.00
Each line ends with the local moment (μB).
Positions (direct):
Co 0.375 0.125 0.250  1.56
Co 0.375 0.625 0.250  1.56
Co 0.375 0.625 0.750  1.39
Co 0.875 0.625 0.750  1.39
Ba 0.000 0.000 0.000  -0.11
Ba 0.750 0.250 0.500  -0.11
Cd 0.500 0.500 0.000  -0.07
Cd 0.250 0.750 0.500  -0.07

Spin magnetization (μB/f.u.): 2.37
Total energy (eV/atom): -3.78
Calculated formation energy (eV/atom): 0.4874

Entry 12:
VASP calculation (PBE-GGA) on an optimized crystal structure of Ba2CdCo.

a b c (Å): 11.275 11.275 8.373
angles (deg): 47.68 47.68 90.00
Positions (direct):
Co 0.500 0.500 0.000
Co 0.250 0.750 0.500
Ba 0.445 0.125 0.250
Ba 0.305 0.625 0.250
Ba 0.375 0.555 0.750
Ba 0.875 0.695 0.750
Cd 0.000 0.000 0.000
Cd 0.750 0.250 0.500

Spin magnetization (μB/f.u.): 0.00
Total energy (eV/atom): -2.76
Calculated formation energy (eV/atom): 0.2065